--- w ---
# Cs2KRbTe GGA-PBE optimized geometry
# D(E_F) ... 2.13 states/eV per cell
# Crystal system ... tetragonal
data_Cs2KRbTe
_cell_length_a 7.5302
_cell_length_b 7.5302
_cell_length_c 7.1612
_cell_angle_alpha 90.00
_cell_angle_beta 90.00
_cell_angle_gamma 90.00
_symmetry_space_group_name_H-M 'P 4/m m m'
_symmetry_Int_Tables_number 123
_symmetry_space_group_name_Hall '-P 4 2'
loop_
_atom_site_label
_atom_site_fract_x
_atom_site_fract_y
_atom_site_fract_z
Cs1 0.0000 0.5000 0.0000
K1 0.0000 0.0000 0.5000
Rb1 0.5000 0.5000 0.5000
Te1 0.5000 0.5000 0.0000

=====

--- x ---
# Cs2KRbTe GGA-PBE optimized geometry
# D(E_F) ... 2.19 states/eV per cell
# Crystal system ... tetragonal
data_Cs2KRbTe
_cell_length_a 7.5821
_cell_length_b 7.5821
_cell_length_c 6.8627
_cell_angle_alpha 90.00
_cell_angle_beta 90.00
_cell_angle_gamma 90.00
_symmetry_space_group_name_H-M 'P 4/m m m'
_symmetry_Int_Tables_number 123
_symmetry_space_group_name_Hall '-P 4 2'
loop_
_atom_site_label
_atom_site_fract_x
_atom_site_fract_y
_atom_site_fract_z
Cs1 0.0000 0.5000 0.0000
K1 0.0000 0.0000 0.5000
Rb1 0.5000 0.5000 0.5000
Te1 0.0000 0.0000 0.0000

=====

Energies relative to the most stable structure, in kJ/mol of atoms: w 0.6; x 0.0.

=====

--- w ---
# CsKRb2Te GGA-PBE optimized geometry
# D(E_F) ... 2.13 states/eV per cell
# Crystal system ... tetragonal
data_CsKRb2Te
_cell_length_a 7.2659
_cell_length_b 7.2659
_cell_length_c 6.9435
_cell_angle_alpha 90.00
_cell_angle_beta 90.00
_cell_angle_gamma 90.00
_symmetry_space_group_name_H-M 'P 4/m m m'
_symmetry_Int_Tables_number 123
_symmetry_space_group_name_Hall '-P 4 2'
loop_
_atom_site_label
_atom_site_fract_x
_atom_site_fract_y
_atom_site_fract_z
Cs1 0.0000 0.0000 0.0000
K1 0.5000 0.5000 0.0000
Rb1 0.0000 0.5000 0.5000
Te1 0.5000 0.5000 0.5000

=====

--- x ---
# CsKRb2Te GGA-PBE optimized geometry
# D(E_F) ... 2.14 states/eV per cell
# Crystal system ... tetragonal
data_CsKRb2Te
_cell_length_a 7.1704
_cell_length_b 7.1704
_cell_length_c 7.5193
_cell_angle_alpha 90.00
_cell_angle_beta 90.00
_cell_angle_gamma 90.00
_symmetry_space_group_name_H-M 'P 4/m m m'
_symmetry_Int_Tables_number 123
_symmetry_space_group_name_Hall '-P 4 2'
loop_
_atom_site_label
_atom_site_fract_x
_atom_site_fract_y
_atom_site_fract_z
Cs1 0.0000 0.0000 0.0000
K1 0.5000 0.5000 0.0000
Rb1 0.0000 0.5000 0.5000
Te1 0.0000 0.0000 0.5000

=====

Energies relative to the most stable structure, in kJ/mol of atoms: w 1.1; x 0.0.

=====

--- w ---
# CsK2RbTl GGA-PBE optimized geometry
# D(E_F) ... 4.00 states/eV per cell
# Crystal system ... tetragonal
data_CsK2RbTl
_cell_length_a 7.1271
_cell_length_b 7.1271
_cell_length_c 7.3865
_cell_angle_alpha 90.00
_cell_angle_beta 90.00
_cell_angle_gamma 90.00
_symmetry_space_group_name_H-M 'P 4/m m m'
_symmetry_Int_Tables_number 123
_symmetry_space_group_name_Hall '-P 4 2'
loop_
_atom_site_label
_atom_site_fract_x
_atom_site_fract_y
_atom_site_fract_z
Cs1 0.0000 0.0000 0.0000
K1 0.0000 0.5000 0.5000
Rb1 0.5000 0.5000 0.0000
Tl1 0.0000 0.0000 0.5000

=====

--- x ---
# CsK2RbTl GGA-PBE optimized geometry
# D(E_F) ... 3.64 states/eV per cell
# Crystal system ... tetragonal
data_CsK2RbTl
_cell_length_a 7.0985
_cell_length_b 7.0985
_cell_length_c 7.3020
_cell_angle_alpha 90.00
_cell_angle_beta 90.00
_cell_angle_gamma 90.00
_symmetry_space_group_name_H-M 'P 4/m m m'
_symmetry_Int_Tables_number 123
_symmetry_space_group_name_Hall '-P 4 2'
loop_
_atom_site_label
_atom_site_fract_x
_atom_site_fract_y
_atom_site_fract_z
Cs1 0.0000 0.0000 0.0000
K1 0.0000 0.5000 0.5000
Rb1 0.5000 0.5000 0.0000
Tl1 0.5000 0.5000 0.5000

=====

Energies relative to the most stable structure, in kJ/mol of atoms: w 2.4; x 0.0.

=====

--- w ---
# CsKRb2Zn GGA-PBE optimized geometry
# D(E_F) ... 4.34 states/eV per cell
# Crystal system ... tetragonal
data_CsKRb2Zn
_cell_length_a 7.1992
_cell_length_b 7.1992
_cell_length_c 7.4021
_cell_angle_alpha 90.00
_cell_angle_beta 90.00
_cell_angle_gamma 90.00
_symmetry_space_group_name_H-M 'P 4/m m m'
_symmetry_Int_Tables_number 123
_symmetry_space_group_name_Hall '-P 4 2'
loop_
_atom_site_label
_atom_site_fract_x
_atom_site_fract_y
_atom_site_fract_z
Cs1 0.0000 0.0000 0.0000
K1 0.5000 0.5000 0.0000
Rb1 0.0000 0.5000 0.5000
Zn1 0.0000 0.0000 0.5000

=====

--- x ---
# CsKRb2Zn GGA-PBE optimized geometry
# D(E_F) ... 3.66 states/eV per cell
# Crystal system ... tetragonal
data_CsKRb2Zn
_cell_length_a 7.2725
_cell_length_b 7.2725
_cell_length_c 7.0754
_cell_angle_alpha 90.00
_cell_angle_beta 90.00
_cell_angle_gamma 90.00
_symmetry_space_group_name_H-M 'P 4/m m m'
_symmetry_Int_Tables_number 123
_symmetry_space_group_name_Hall '-P 4 2'
loop_
_atom_site_label
_atom_site_fract_x
_atom_site_fract_y
_atom_site_fract_z
Cs1 0.0000 0.0000 0.0000
K1 0.5000 0.5000 0.0000
Rb1 0.0000 0.5000 0.5000
Zn1 0.5000 0.5000 0.5000

=====

Energies relative to the most stable structure, in kJ/mol of atoms: w 1.1; x 0.0.

=====

--- w ---
# CsK3Rh GGA-PBE optimized geometry
# D(E_F) ... 5.84 states/eV per cell
# Crystal system ... cubic
data_CsK3Rh
_cell_length_a 6.4072
_cell_length_b 6.4072
_cell_length_c 6.4072
_cell_angle_alpha 90.00
_cell_angle_beta 90.00
_cell_angle_gamma 90.00
_symmetry_space_group_name_H-M 'P m -3 m'
_symmetry_Int_Tables_number 221
_symmetry_space_group_name_Hall '-P 4 2 3'
loop_
_atom_site_label
_atom_site_fract_x
_atom_site_fract_y
_atom_site_fract_z
Cs1 0.0000 0.0000 0.0000
K1 0.0000 0.5000 0.5000
Rh1 0.5000 0.5000 0.5000

=====

--- x ---
# CsK3Rh GGA-PBE optimized geometry
# D(E_F) ... 16.33 states/eV per cell
# Crystal system ... cubic
data_CsK3Rh
_cell_length_a 7.1299
_cell_length_b 7.1299
_cell_length_c 7.1299
_cell_angle_alpha 90.00
_cell_angle_beta 90.00
_cell_angle_gamma 90.00
_symmetry_space_group_name_H-M 'P m -3 m'
_symmetry_Int_Tables_number 221
_symmetry_space_group_name_Hall '-P 4 2 3'
loop_
_atom_site_label
_atom_site_fract_x
_atom_site_fract_y
_atom_site_fract_z
Cs1 0.0000 0.0000 0.0000
K1 0.0000 0.0000 0.5000
Rh1 0.5000 0.5000 0.5000

=====

Energies relative to the most stable structure, in kJ/mol of atoms: w 0.0; x 82.4.

=====

--- w ---
# CsKSr2Rh GGA-PBE optimized geometry
# D(E_F) ... 4.12 states/eV per cell
# Crystal system ... tetragonal
data_CsKSr2Rh
_cell_length_a 5.9486
_cell_length_b 5.9486
_cell_length_c 7.0680
_cell_angle_alpha 90.00
_cell_angle_beta 90.00
_cell_angle_gamma 90.00
_symmetry_space_group_name_H-M 'P 4/m m m'
_symmetry_Int_Tables_number 123
_symmetry_space_group_name_Hall '-P 4 2'
loop_
_atom_site_label
_atom_site_fract_x
_atom_site_fract_y
_atom_site_fract_z
Cs1 0.0000 0.0000 0.0000
K1 0.5000 0.5000 0.0000
Sr1 0.0000 0.5000 0.5000
Rh1 0.0000 0.0000 0.5000

=====

--- x ---
# CsKSr2Rh GGA-PBE optimized geometry
# D(E_F) ... 3.71 states/eV per cell
# Crystal system ... tetragonal
data_CsKSr2Rh
_cell_length_a 5.9459
_cell_length_b 5.9459
_cell_length_c 6.9253
_cell_angle_alpha 90.00
_cell_angle_beta 90.00
_cell_angle_gamma 90.00
_symmetry_space_group_name_H-M 'P 4/m m m'
_symmetry_Int_Tables_number 123
_symmetry_space_group_name_Hall '-P 4 2'
loop_
_atom_site_label
_atom_site_fract_x
_atom_site_fract_y
_atom_site_fract_z
Cs1 0.0000 0.0000 0.0000
K1 0.5000 0.5000 0.0000
Sr1 0.0000 0.5000 0.5000
Rh1 0.5000 0.5000 0.5000

=====

Energies relative to the most stable structure, in kJ/mol of atoms: w 1.2; x 0.0.